14
Lattice="8.1070 0.0000 0.0000 0.0000 8.1070 0.0000 0.0000 0.0000 4.1009" Properties=species:S:1:pos:R:3 comment="GGA-PBE BaZn4Pt2, relaxed" de_polymorph_mev_per_atom=0 e_tot_ev_per_cell=-45.58 e_form_ev_per_atom=-0.53 n_ef_per_ev_atom=0.23 volume_a3_per_atom=19.252 spacegroup="P4_2/mnm (136)" pbc="T T T"
Ba 0.0000 0.0000 0.0000
Ba 4.0535 4.0535 2.0505
Zn 0.6787 2.8179 2.0505
Zn 1.2356 4.7322 0.0000
Zn 2.8179 0.6787 2.0505
Zn 3.3748 6.8714 0.0000
Zn 4.7322 1.2356 0.0000
Zn 5.2891 7.4283 2.0505
Zn 6.8714 3.3748 0.0000
Zn 7.4283 5.2891 2.0505
Pt 1.8236 6.2834 2.0505
Pt 2.2299 2.2299 0.0000
Pt 5.8771 5.8771 0.0000
Pt 6.2834 1.8236 2.0505